Entry 1:
DFT (PBE) results for a relaxed NdPaSb2O8 crystal.

Unit cell a=7.351 b=7.351 c=7.185 alpha=90.00 beta=90.00 gamma=90.00
Space group I-4m2 (No. 119)
Inequivalent atoms, fractional coordinates:
Nd 0.000 0.000 0.000 x2
Pa 0.000 0.500 0.250 x2
Sb 0.000 0.000 0.500 x2
Sb 0.000 0.500 0.750 x2
O 0.000 0.207 0.291 x8
O 0.000 0.318 0.939 x8

Computed properties:
Total DFT energy (no corrections): -7.4876 eV/atom



Entry 2:
DFT (PBE) results for a relaxed NdPaSn2O8 crystal.

Unit cell a=7.331 b=7.331 c=6.989 alpha=90.00 beta=90.00 gamma=90.00
Space group I-4m2 (No. 119)
Inequivalent atoms, fractional coordinates:
Nd 0.000 0.000 0.000 x2
Pa 0.000 0.500 0.750 x2
Sn 0.000 0.000 0.500 x2
Sn 0.000 0.500 0.250 x2
O 0.000 0.197 0.692 x8
O 0.000 0.320 0.041 x8

Computed properties:
Total DFT energy (no corrections): -7.5939 eV/atom



Entry 3:
DFT (PBE) results for a relaxed NdPaSnO6 crystal.

Unit cell a=5.6714 b=5.6714 c=9.5554 alpha=90.00 beta=90.00 gamma=120.00
Space group P-31c (No. 163)
Inequivalent atoms, fractional coordinates:
Nd 0.3333 0.6667 0.2500 x2
Pa 0.0000 0.0000 0.0000 x2
Sn 0.3333 0.6667 0.7500 x2
O 0.0384 0.3426 0.6276 x12

Computed properties:
Total DFT energy (no corrections): -8.1347 eV/atom



Entry 4:
DFT (PBE) results for a relaxed Sr2NdPaO6 crystal.

Unit cell a=6.080 b=6.252 c=10.626 alpha=90.00 beta=124.85 gamma=90.00
Space group P2_1/c (No. 14)
Inequivalent atoms, fractional coordinates:
Sr 0.235 0.046 0.248 x4
Nd 0.000 0.000 0.500 x2
Pa 0.500 0.000 0.000 x2
O 0.153 0.189 0.944 x4
O 0.247 0.712 0.935 x4
O 0.374 0.050 0.762 x4

Computed properties:
Total DFT energy (no corrections): -8.0537 eV/atom



Entry 5:
DFT (PBE) results for a relaxed SrNdPa2O8 crystal.

Unit cell a=5.584 b=5.584 c=10.861 alpha=90.00 beta=90.00 gamma=90.00
Space group I-4m2 (No. 119)
Inequivalent atoms, fractional coordinates:
Sr 0.000 0.000 0.000 x2
Nd 0.000 0.500 0.250 x2
Pa 0.000 0.000 0.500 x2
Pa 0.000 0.500 0.750 x2
O 0.224 0.245 0.627 x16

Computed properties:
Total DFT energy (no corrections): -8.7497 eV/atom



Entry 6:
DFT (PBE) results for a relaxed SrNdPaO6 crystal.

Unit cell a=6.1180 b=6.1180 c=4.6971 alpha=90.00 beta=90.00 gamma=120.00
Space group P312 (No. 149)
Inequivalent atoms, fractional coordinates:
Sr 0.0000 0.0000 0.0000 x1
Nd 0.3333 0.6667 0.0000 x1
Pa 0.6667 0.3333 0.5000 x1
O 0.3737 0.0230 0.2530 x6

Computed properties:
Total DFT energy (no corrections): -7.7981 eV/atom



Entry 7:
DFT (PBE) results for a relaxed NdPaTl2O6 crystal.

Unit cell a=10.512 b=6.362 c=6.095 alpha=90.00 beta=124.87 gamma=90.00
Space group C2/m (No. 12)
Inequivalent atoms, fractional coordinates:
Nd 0.000 0.000 0.000 x2
Pa 0.000 0.500 0.500 x2
Tl 0.248 0.000 0.717 x4
O 0.077 0.257 0.340 x8
O 0.234 0.500 0.868 x4

Computed properties:
Total DFT energy (no corrections): -7.1046 eV/atom



Entry 8:
DFT (PBE) results for a relaxed NdPaTlO6 crystal.

Unit cell a=5.7893 b=5.7893 c=4.8918 alpha=90.00 beta=90.00 gamma=120.00
Space group P312 (No. 149)
Inequivalent atoms, fractional coordinates:
Nd 0.0000 0.0000 0.0000 x1
Pa 0.6667 0.3333 0.5000 x1
Tl 0.3333 0.6667 0.0000 x1
O 0.3602 0.0165 0.2509 x6

Computed properties:
Total DFT energy (no corrections): -7.4802 eV/atom



Entry 9:
DFT (PBE) results for a relaxed NdPa3Tl4O12 crystal.

Unit cell a=8.898 b=8.898 c=8.898 alpha=90.00 beta=90.00 gamma=90.00
Space group Im-3m (No. 229)
Inequivalent atoms, fractional coordinates:
Nd 0.000 0.000 0.000 x2
Pa 0.000 0.000 0.500 x6
Tl 0.250 0.250 0.250 x8
O 0.000 0.000 0.265 x12
O 0.000 0.250 0.500 x12

Computed properties:
Total DFT energy (no corrections): -7.5674 eV/atom



Going through the records in order, we get energy relative to the elements, uncorrected values of -27.68 -29.19 -25.20 -33.16 -39.89 -24.49 -22.30 -20.94 -49.13 eV/f.u..